First-principles (GGA-PBE) data for a geometry-optimized Ga4Sn5Pb2 structure, as listed in Alexandria via LeMat-Bulk.

abc: 6.521 6.594 7.454
angles: 109.69 108.74 91.70
Space group P-1 (No. 2)
Asymmetric unit:
Ga1 0.106 0.364 0.375 x2
Ga2 0.232 0.996 0.135 x2
Sn1 0.000 0.500 0.000 x1
Sn2 0.386 0.641 0.834 x2
Sn3 0.414 0.742 0.428 x2
Pb1 0.193 0.097 0.736 x2

## Properties
V in Å³/atom: 25.67
Total magnetic moment in μB/f.u.: 0.00
ΔE_f in eV per atom: 0.065

***

First-principles (GGA-PBE) data for a geometry-optimized AcPuZn2O6 structure, as listed in Alexandria via LeMat-Bulk.

abc: 5.5938 5.5938 17.1878
angles: 90.00 90.00 120.00
Space group R-3 (No. 148, hexagonal axes)
Asymmetric unit:
Ac1 0.0000 0.0000 0.0000 x3
Pu1 0.0000 0.0000 0.5000 x3
Zn1 0.0000 0.0000 0.2161 x6
O1 0.0009 0.6819 0.4291 x18

## Properties
Energy relative to the elements, uncorrected in meV per atom: -2338
V in Å³/atom: 15.53
Total magnetic moment in μB/f.u.: 3.00

***

First-principles (GGA-PBE) data for a geometry-optimized Zr2Pd2Rh structure, as listed in Alexandria via LeMat-Bulk.

abc: 7.384 7.384 3.344
angles: 90.00 90.00 90.00
Space group P4/mbm (No. 127)
Asymmetric unit:
Zr1 0.177 0.323 0.000 x4
Pd1 0.128 0.628 0.500 x4
Rh1 0.000 0.000 0.500 x2

## Properties
V in Å³/atom: 18.23
Total magnetic moment in μB/f.u.: 0.00
ΔE_f in eV per atom: -0.559

***

First-principles (GGA-PBE) data for a geometry-optimized PuHf2Zn structure, as listed in Alexandria via LeMat-Bulk.

abc: 6.969 6.969 6.969
angles: 90.00 90.00 90.00
Space group F-43m (No. 216)
Asymmetric unit:
Pu1 0.000 0.000 0.000 x4
Hf1 0.000 0.000 0.500 x4
Hf2 0.250 0.250 0.750 x4
Zn1 0.250 0.250 0.250 x4

## Properties
V in Å³/atom: 21.15
Total magnetic moment in μB/f.u.: 4.15
ΔE_f in eV per atom: 0.138

***

First-principles (GGA-PBE) data for a geometry-optimized Sr2HgP structure, as listed in Alexandria via LeMat-Bulk.

abc: 7.623 4.540 7.806
angles: 90.00 90.39 90.00
Space group P2_1/m (No. 11)
Asymmetric unit:
Sr1 0.195 0.250 0.093 x2
Sr2 0.208 0.750 0.577 x2
Hg1 0.493 0.250 0.766 x2
P1 0.014 0.250 0.748 x2

## Properties
V in Å³/atom: 33.77
Total magnetic moment in μB/f.u.: 0.00
ΔE_f in eV per atom: -0.817

***

First-principles (GGA-PBE) data for a geometry-optimized AgP2Se6 structure, as listed in Alexandria via LeMat-Bulk.

abc: 12.897 13.820 6.122
angles: 90.00 116.17 90.00
Space group C2/c (No. 15)
Asymmetric unit:
Ag1 0.000 0.220 0.250 x4
P1 0.222 0.423 0.280 x8
Se1 0.089 0.081 0.602 x8
Se2 0.141 0.292 0.085 x8
Se3 0.152 0.434 0.565 x8

## Properties
Energy relative to the elements, uncorrected in meV per atom: 24
V in Å³/atom: 27.20
Total magnetic moment in μB/f.u.: 0.00

***

First-principles (GGA-PBE) data for a geometry-optimized PmPaRh4 structure, as listed in Alexandria via LeMat-Bulk.

abc: 7.574 7.574 7.574
angles: 90.00 90.00 90.00
Space group F-43m (No. 216)
Asymmetric unit:
Pm1 0.000 0.000 0.000 x4
Pa1 0.250 0.250 0.750 x4
Rh1 0.125 0.125 0.375 x16

## Properties
V in Å³/atom: 18.11
Total magnetic moment in μB/f.u.: 0.00
ΔE_f in eV per atom: -0.648

***

First-principles (GGA-PBE) data for a geometry-optimized Al5CoPd4 structure, as listed in Alexandria via LeMat-Bulk.

abc: 3.028 3.028 15.252
angles: 90.00 90.00 90.00
Space group P4/mmm (No. 123)
Asymmetric unit:
Al1 0.000 0.000 0.000 x1
Al2 0.000 0.000 0.205 x2
Al3 0.000 0.000 0.412 x2
Co1 0.500 0.500 0.500 x1
Pd1 0.500 0.500 0.104 x2
Pd2 0.500 0.500 0.308 x2

## Properties
V in Å³/atom: 13.98
Total magnetic moment in μB/f.u.: 0.74
ΔE_f in eV per atom: -0.799

***

First-principles (GGA-PBE) data for a geometry-optimized Tl2IBr structure, as listed in Alexandria via LeMat-Bulk.

abc: 4.157 4.157 8.308
angles: 90.00 90.00 90.00
Space group P4/mmm (No. 123)
Asymmetric unit:
Tl1 0.000 0.000 0.237 x2
I1 0.500 0.500 0.500 x1
Br1 0.500 0.500 0.000 x1

## Properties
Energy relative to the elements, uncorrected in meV per atom: -711
V in Å³/atom: 35.89
Total magnetic moment in μB/f.u.: 0.00

***

First-principles (GGA-PBE) data for a geometry-optimized MnV2Cd2S6 structure, as listed in Alexandria via LeMat-Bulk.

abc: 6.175 10.933 6.668
angles: 90.00 108.63 90.00
Space group C2/m (No. 12)
Asymmetric unit:
Mn1 0.000 0.000 0.000 x2
V1 0.000 0.330 0.000 x4
Cd1 0.000 0.163 0.500 x4
S1 0.241 0.173 0.219 x8
S2 0.241 0.500 0.205 x4

## Properties
Energy relative to the elements, uncorrected in meV per atom: -619
V in Å³/atom: 19.39
Total magnetic moment in μB/f.u.: 9.02

***

First-principles (GGA-PBE) data for a geometry-optimized TcNiSbI2 structure, as listed in Alexandria via LeMat-Bulk.

abc: 5.241 5.241 5.045
angles: 90.00 90.00 90.00
Space group P4/mmm (No. 123)
Asymmetric unit:
Tc1 0.000 0.000 0.000 x1
Ni1 0.500 0.500 0.500 x1
Sb1 0.500 0.500 0.000 x1
I1 0.000 0.500 0.500 x2

## Properties
Energy relative to the elements, uncorrected in meV per atom: 1007
V in Å³/atom: 27.71
Total magnetic moment in μB/f.u.: 3.90

***

First-principles (GGA-PBE) data for a geometry-optimized CdTc2Cl structure, as listed in Alexandria via LeMat-Bulk.

abc: 2.822 4.555 5.535
angles: 90.00 90.00 90.00
Space group Pmmm (No. 47)
Asymmetric unit:
Cd1 0.000 0.000 0.000 x1
Tc1 0.500 0.500 0.296 x2
Cl1 0.000 0.000 0.500 x1

## Properties
Energy relative to the elements, uncorrected in meV per atom: 933
V in Å³/atom: 17.79
Total magnetic moment in μB/f.u.: 0.00

***

Number 1: calculated density 7.57 g/cm3. Number 2: calculated density 7.46 g/cm3. Number 3: calculated density 9.08 g/cm3. Number 4: calculated density 13.08 g/cm3. Number 5: calculated density 5.00 g/cm3. Number 6: calculated density 4.36 g/cm3. Number 7: calculated density 12.04 g/cm3. Number 8: calculated density 7.36 g/cm3. Number 9: calculated density 7.12 g/cm3. Number 10: calculated density 4.47 g/cm3. Number 11: calculated density 6.38 g/cm3. Number 12: calculated density 8.02 g/cm3.